Ac3RuAu2 | PBE | relaxed

Computed properties:
**ΔE_f**: -547.0 meV per atom
**E above lowest polymorph**: 22.4 meV/atom

Cell: 6.292 8.651 7.882 Å, 105.97 113.52 90.00°
Positions (direct):
1 Ru 0.000 0.750 0.000
2 Au 0.676 0.588 0.351
3 Ac 0.856 0.928 0.710
4 Ac 0.854 0.428 0.710
5 Ac 0.144 0.072 0.290
6 Ru 0.000 0.250 0.000
7 Ac 0.500 0.250 0.000
8 Au 0.324 0.412 0.649
9 Au 0.675 0.088 0.351
10 Ac 0.146 0.572 0.290
11 Ac 0.500 0.750 0.000
12 Au 0.325 0.912 0.649



Ac5RuAu4 | PBE | relaxed

Computed properties:
**ΔE_f**: -599.3 meV per atom
**E above lowest polymorph**: 67.3 meV/atom

Cell: 3.830 3.830 19.751 Å, 90.00 90.00 90.00°
Positions (direct):
1 Au 0.000 0.000 0.602
2 Au 0.000 0.000 0.398
3 Ac 0.500 0.500 0.500
4 Ac 0.500 0.500 0.091
5 Ru 0.000 0.000 0.000
6 Ac 0.500 0.500 0.703
7 Ac 0.500 0.500 0.297
8 Au 0.000 0.000 0.802
9 Ac 0.500 0.500 0.909
10 Au 0.000 0.000 0.198



Ac4RuAuSe2 | PBE | relaxed

Computed properties:
**E_form (uncorrected)**: -1114 meV per atom

Cell: 4.373 7.581 8.153 Å, 107.70 90.00 90.00°
Positions (direct):
1 Se 0.000 0.500 0.500
2 Ru 0.500 0.500 0.000
3 Au 0.000 0.000 0.000
4 Ac 0.000 0.731 0.229
5 Ac 0.000 0.269 0.771
6 Se 0.500 0.000 0.500
7 Ac 0.500 0.738 0.768
8 Ac 0.500 0.262 0.232



AcTmRuAu | PBE | relaxed

Computed properties:
**ΔE_f**: -396.8 meV per atom

Cell: 5.141 5.141 5.141 Å, 60.00 60.00 60.00°
Positions (direct):
1 Tm 0.500 0.500 0.500
2 Ac 0.000 0.000 0.000
3 Ru 0.750 0.750 0.750
4 Au 0.250 0.250 0.250



Ac6Au2S | PBE | relaxed

Computed properties:
**E_form (uncorrected)**: -774 meV per atom

Cell: 7.267 8.028 11.283 Å, 90.00 87.82 90.00°
Positions (direct):
1 Ac 0.660 0.464 0.749
2 S 0.000 0.000 0.500
3 Au 0.070 0.618 0.763
4 Ac 0.664 0.192 0.431
5 Ac 0.664 0.174 0.072
6 Ac 0.164 0.326 0.572
7 Au 0.930 0.382 0.237
8 S 0.500 0.500 0.000
9 Ac 0.336 0.808 0.569
10 Ac 0.340 0.536 0.251
11 Ac 0.840 0.964 0.751
12 Ac 0.164 0.308 0.931
13 Ac 0.336 0.826 0.928
14 Ac 0.836 0.692 0.069
15 Ac 0.160 0.036 0.249
16 Ac 0.836 0.674 0.428
17 Au 0.430 0.118 0.737
18 Au 0.570 0.882 0.263



Ac6AuS5 | PBE | relaxed

Computed properties:
**E_form (uncorrected)**: -1779 meV per atom

Cell: 7.561 7.561 7.548 Å, 99.63 99.63 119.98°
Positions (direct):
1 S 0.834 0.166 0.500
2 S 0.166 0.834 0.500
3 Ac 0.576 0.916 0.746
4 S 0.334 0.666 0.000
5 Au 0.000 0.000 0.000
6 Ac 0.255 0.255 0.746
7 Ac 0.424 0.084 0.254
8 Ac 0.916 0.576 0.746
9 Ac 0.745 0.745 0.254
10 S 0.666 0.334 0.000
11 Ac 0.084 0.424 0.254
12 S 0.500 0.500 0.500



no.,uncorrected energy (eV per atom)
1,-5.2397
2,-4.8921
3,-5.6083
4,-5.6801
5,-4.7000
6,-5.8264